The following is a DFT calculation (PBE with a Hubbard U) of an optimized crystal structure of Na3Ni2WO6.

N(E_F) = 0.00 states/eV/cell
Final energy = -5.467 eV/atom

Cell: 5.3625 5.3625 5.6799 Å, 99.14 99.14 119.79°
With the nearest neighbours (Å) after each atom.
Fractional positions:
Na  0.0000  0.0000  0.0000  6 O 2.37-2.44
Na  0.3270  0.6730  0.0000  6 O 2.38-2.42
Na  0.6730  0.3270  0.0000  6 O 2.38-2.42
Ni  0.1646  0.8354  0.5000  6 O 2.12-2.14
Ni  0.8354  0.1646  0.5000  6 O 2.12-2.14
W  0.5000  0.5000  0.5000  6 O 2.02-2.05
O  0.1149  0.4329  0.2971  1 W 2.02, 2 Ni 2.14
O  0.2481  0.2481  0.7064  1 W 2.05, 2 Ni 2.12
O  0.4329  0.1149  0.2971  1 W 2.02, 2 Ni 2.14
O  0.5671  0.8851  0.7029  1 W 2.02, 2 Ni 2.14
O  0.7519  0.7519  0.2936  1 W 2.05, 2 Ni 2.12
O  0.8851  0.5671  0.7029  1 W 2.02, 2 Ni 2.14